An optimized crystal structure of Y2ScMoPd. Source: Alexandria, functional PBEsol.

Calculated formation energy ... 1181.5 meV per atom
V ... 124 Å³ per cell
Total moment ... 2.79 μB per formula unit

Cell: 5.2570 5.2570 4.5030 Å, 90.00 90.00 90.00°
Space group P4/mmm (No. 123)
Symmetry-distinct sites (fractional):
1 Y 0.0000 0.5000 0.0000 x2
2 Sc 0.0000 0.0000 0.0000 x1
3 Mo 0.5000 0.5000 0.5000 x1
4 Pd 0.0000 0.0000 0.5000 x1

=====

An optimized crystal structure of SmAgGe. Source: Alexandria, functional PBEsol.

Calculated formation energy ... -695.5 meV per atom
V ... 186 Å³ per cell
Total moment ... 0.00 μB per formula unit

Cell: 7.1229 7.1229 4.2414 Å, 90.00 90.00 120.00°
Space group P-62m (No. 189)
Symmetry-distinct sites (fractional):
1 Sm 0.0000 0.5831 0.0000 x3
2 Ag 0.0000 0.2480 0.5000 x3
3 Ge 0.0000 0.0000 0.0000 x1
4 Ge 0.3333 0.6667 0.5000 x2

=====

An optimized crystal structure of CaZr3Cd. Source: Alexandria, functional PBEsol.

Calculated formation energy ... 943.3 meV per atom
V ... 147 Å³ per cell
Polymorph energy (0 for the lowest one) ... 0 meV/atom
Total moment ... 0.02 μB per formula unit

Cell: 5.2805 5.2805 5.2805 Å, 90.00 90.00 90.00°
Space group Pm-3m (No. 221)
Symmetry-distinct sites (fractional):
1 Ca 0.0000 0.0000 0.0000 x1
2 Zr 0.0000 0.5000 0.5000 x3
3 Cd 0.5000 0.5000 0.5000 x1

=====

- Among the records above, which one has the highest calculated formation energy?
  Y2ScMoPd

=====

- Number 1 is which compound?
  Y2ScMoPd

=====

- What is the formula in the first record?
  Y2ScMoPd